Below is crystalline NaGa4Rh at its relaxed geometry, with properties calculated at the PBE-GGA level.

abc: 3.784 7.062 8.181
angles: 90.00 90.00 90.00
Positions (direct):
Na: 0.000 0.602 0.750
Na: 0.000 0.398 0.250
Ga: 0.000 0.000 0.500
Ga: 0.000 0.000 0.000
Ga: 0.500 0.927 0.750
Ga: 0.500 0.073 0.250
Ga: 0.500 0.682 0.059
Ga: 0.500 0.318 0.941
Ga: 0.500 0.682 0.441
Ga: 0.500 0.318 0.559
Rh: 0.000 0.188 0.750
Rh: 0.000 0.812 0.250

Calculated values
Calculated formation energy   -323 meV/atom
N(E_F)   0.309 states/eV per atom

---

Below is crystalline Pm2NiGePd6 at its relaxed geometry, with properties calculated at the PBE-GGA level.

abc: 5.422 8.759 6.421
angles: 48.27 65.13 90.22
Positions (direct):
Pm: 0.738 0.237 0.525
Pm: 0.263 0.763 0.475
Ni: 0.000 0.000 0.000
Ge: 0.500 0.500 0.000
Pd: 0.249 0.415 0.505
Pd: 0.804 0.796 0.898
Pd: 0.296 0.794 0.902
Pd: 0.704 0.206 0.098
Pd: 0.196 0.204 0.102
Pd: 0.751 0.585 0.495

Calculated values
Calculated formation energy   -562 meV/atom
N(E_F)   0.589 states/eV per atom

---

Below is crystalline Pm2PaS5 at its relaxed geometry, with properties calculated at the PBE-GGA level.

abc: 5.399 7.313 13.438
angles: 90.00 90.00 111.66
Each line ends with the local moment (μB).
Positions (direct):
Pm: 0.855 0.711 0.440  0.03
Pm: 0.855 0.711 0.060  0.03
Pm: 0.145 0.289 0.560  0.03
Pm: 0.145 0.289 0.940  0.03
Pa: 0.805 0.611 0.750  0.94
Pa: 0.195 0.389 0.250  0.94
S: 0.952 0.904 0.879  -0.02
S: 0.952 0.904 0.621  -0.02
S: 0.307 0.614 0.421  -0.01
S: 0.307 0.614 0.079  -0.01
S: 0.744 0.489 0.250  -0.02
S: 0.256 0.511 0.750  -0.02
S: 0.693 0.386 0.579  -0.01
S: 0.693 0.386 0.921  -0.01
S: 0.048 0.096 0.121  -0.02
S: 0.048 0.096 0.379  -0.02

Calculated values
ΔE_f (raw)   -1.84 eV/atom
N(E_F)   0.553 states/eV per atom

---

Below is crystalline BaSrLa2Os at its relaxed geometry, with properties calculated at the PBE-GGA level.

abc: 5.672 5.672 6.283
angles: 90.00 90.00 90.00
Positions (direct):
Sr: 0.000 0.000 0.500
Os: 0.000 0.000 0.000
Ba: 0.500 0.500 0.500
La: 0.000 0.500 0.000
La: 0.500 0.000 0.000

Calculated values
Calculated formation energy   31 meV/atom
N(E_F)   1.077 states/eV per atom

---

Below is crystalline Pa2ZnCo4Ge3 at its relaxed geometry, with properties calculated at the PBE-GGA level.

abc: 3.926 3.926 10.140
angles: 90.00 90.00 90.00
Positions (direct):
Pa: 0.500 0.000 0.253
Pa: 0.000 0.500 0.747
Zn: 0.500 0.500 0.500
Co: 0.500 0.500 0.000
Co: 0.000 0.000 0.000
Co: 0.500 0.000 0.644
Co: 0.000 0.500 0.356
Ge: 0.000 0.000 0.500
Ge: 0.500 0.000 0.873
Ge: 0.000 0.500 0.127

Calculated values
Calculated formation energy   -472 meV/atom
N(E_F)   1.110 states/eV per atom

---

Below is crystalline CePrPt2 at its relaxed geometry, with properties calculated at the PBE-GGA level.

abc: 3.592 3.592 7.250
angles: 90.00 90.00 90.00
Each line ends with the local moment (μB).
Positions (direct):
Pr: 0.500 0.500 0.500  0.06
Ce: 0.500 0.500 0.000  0.59
Pt: 0.000 0.000 0.770  -0.01
Pt: 0.000 0.000 0.230  -0.01

Calculated values
Calculated formation energy   -991 meV/atom
N(E_F)   1.810 states/eV per atom